1.
The following is a PBE calculation of La2Ge5Pd3 after structural relaxation, from Alexandria.

Geometry as POSCAR:
```
La2Ge5Pd3
1.0
6.273 0.000 0.000
3.137 8.026 0.082
3.137 1.319 7.917
La Ge Pd
4 10 6
Direct
0.129 0.603 0.138 La
0.629 0.138 0.603 La
0.871 0.397 0.862 La
0.371 0.862 0.397 La
0.392 0.260 0.956 Ge
0.892 0.956 0.260 Ge
0.608 0.740 0.044 Ge
0.108 0.044 0.740 Ge
0.478 0.772 0.772 Ge
0.522 0.228 0.228 Ge
0.750 0.500 0.500 Ge
0.250 0.500 0.500 Ge
0.022 0.228 0.228 Ge
0.978 0.772 0.772 Ge
0.361 0.528 0.749 Pd
0.861 0.749 0.528 Pd
0.639 0.472 0.251 Pd
0.139 0.251 0.472 Pd
0.250 0.000 0.000 Pd
0.750 0.000 0.000 Pd
```

* E: -113.08 eV per cell
* energy of formation: -0.80 eV/atom
* crystal system: orthorhombic
* total magnetization: 0.0 μB per formula unit

2.
The following is a PBE calculation of LaGe3Pd2 after structural relaxation, from Alexandria.

Geometry as POSCAR:
```
LaGe3Pd2
1.0
4.293 0.000 -0.697
-0.113 4.291 -0.697
-0.069 -0.071 13.139
La Ge Pd
2 6 4
Direct
0.850 0.850 0.700 La
0.150 0.150 0.300 La
0.451 0.951 0.902 Ge
0.951 0.451 0.902 Ge
0.549 0.049 0.098 Ge
0.302 0.302 0.605 Ge
0.698 0.698 0.395 Ge
0.049 0.549 0.098 Ge
0.250 0.750 0.500 Pd
0.750 0.250 0.500 Pd
0.401 0.401 0.802 Pd
0.599 0.599 0.198 Pd
```

* E: -66.52 eV per cell
* energy of formation: -0.68 eV/atom
* crystal system: tetragonal
* distance to the lowest polymorph of the same formula: 0.00 eV per formula unit
* total magnetization: 0.0 μB per formula unit

3.
The following is a PBE calculation of La3Ge8Pd3 after structural relaxation, from Alexandria.

Geometry as POSCAR:
```
La3Ge8Pd3
1.0
4.186 0.000 1.104
1.104 7.514 4.300
-0.289 0.415 9.582
La Ge Pd
3 8 3
Direct
0.284 0.745 0.687 La
0.716 0.255 0.313 La
0.000 0.000 0.000 La
0.122 0.169 0.586 Ge
0.878 0.831 0.414 Ge
0.818 0.464 0.900 Ge
0.182 0.536 0.100 Ge
0.522 0.656 0.300 Ge
0.478 0.344 0.700 Ge
0.372 0.996 0.260 Ge
0.628 0.004 0.740 Ge
0.000 0.500 0.500 Pd
0.645 0.708 0.003 Pd
0.355 0.292 0.997 Pd
```

* E: -76.24 eV per cell
* energy of formation: -0.64 eV/atom
* crystal system: monoclinic
* total magnetization: 0.0 μB per formula unit

4.
The following is a PBE calculation of La5Ge5Pd2 after structural relaxation, from Alexandria.

Geometry as POSCAR:
```
La5Ge5Pd2
1.0
4.356 0.000 0.983
2.168 7.919 0.539
0.284 -0.403 8.887
La Ge Pd
5 5 2
Direct
0.000 0.500 0.500 La
0.694 0.693 0.919 La
0.374 0.933 0.319 La
0.626 0.067 0.681 La
0.306 0.307 0.081 La
0.721 0.221 0.338 Ge
0.943 0.301 0.812 Ge
0.057 0.699 0.188 Ge
0.279 0.779 0.662 Ge
0.000 0.000 0.000 Ge
0.390 0.467 0.754 Pd
0.610 0.533 0.246 Pd
```

* E: -68.18 eV per cell
* energy of formation: -0.84 eV/atom
* crystal system: monoclinic
* total magnetization: 0.0 μB per formula unit

5.
The following is a PBE calculation of La2Ge4Pd after structural relaxation, from Alexandria.

Geometry as POSCAR:
```
La2Ge4Pd
1.0
-0.417 -4.722 -0.497
1.821 -0.620 4.361
-6.460 -2.358 4.968
Ge Pd La
4 1 2
Direct
0.165 0.165 0.671 Ge
0.835 0.835 0.329 Ge
0.000 0.500 0.000 Ge
0.500 0.000 0.000 Ge
0.000 0.000 0.000 Pd
0.356 0.356 0.289 La
0.644 0.644 0.711 La
```

* E: -36.16 eV per cell
* energy of formation: -0.38 eV/atom
* crystal system: tetragonal
* total magnetization: 0.0 μB per formula unit

6.
The following is a PBE calculation of LaGe3Pd5 after structural relaxation, from Alexandria.

Geometry as POSCAR:
```
LaGe3Pd5
1.0
-3.100 -2.212 1.104
4.830 -0.849 4.744
-4.753 9.968 6.623
La Ge Pd
2 6 10
Direct
0.853 0.706 0.750 La
0.147 0.294 0.250 La
0.383 0.765 0.957 Ge
0.880 0.759 0.250 Ge
0.383 0.765 0.543 Ge
0.617 0.235 0.457 Ge
0.120 0.241 0.750 Ge
0.617 0.235 0.043 Ge
0.798 0.597 0.428 Pd
0.202 0.403 0.928 Pd
0.000 0.000 0.500 Pd
0.000 0.000 0.000 Pd
0.449 0.897 0.145 Pd
0.551 0.103 0.855 Pd
0.551 0.103 0.645 Pd
0.798 0.597 0.072 Pd
0.202 0.403 0.572 Pd
0.449 0.897 0.355 Pd
```

* E: -101.39 eV per cell
* energy of formation: -0.66 eV/atom
* crystal system: orthorhombic
* total magnetization: 0.0 μB per formula unit